1.
Computed, not measured: Ho4Mg3Ag after structural relaxation at the GGA-PBE level of DFT.

Output
The calculation puts the calculated total energy at -27.00 eV per formula unit. Its space group is P4/mmm, No. 123. Its relative energy among the computed polymorphs is 0.000 eV per atom. For the density of states at the Fermi level, the calculation gives 8.9 states/eV per cell.

Lattice parameters (Å, degrees): 3.729 3.729 14.941 90.00 90.00 90.00
Sites, in units of the cell vectors:
Ag: 0.500 0.500 0.000
Ho: 0.000 0.000 0.372
Ho: 0.000 0.000 0.117
Ho: 0.000 0.000 0.883
Ho: 0.000 0.000 0.628
Mg: 0.500 0.500 0.500
Mg: 0.500 0.500 0.247
Mg: 0.500 0.500 0.753

=====

2.
Computed, not measured: CaPtS after structural relaxation at the GGA-PBE level of DFT.

Output
The calculation puts the calculated total energy at -15.60 eV per formula unit. Its space group is Ama2, No. 40. For the density of states at the Fermi level, the calculation gives 0.0 states/eV per cell.

Lattice parameters (Å, degrees): 4.140 8.921 4.321 61.03 61.38 76.58
Sites, in units of the cell vectors:
Ca: 0.496 0.169 0.753
Ca: 0.496 0.669 0.253
Pt: 0.865 0.919 0.333
Pt: 0.799 0.419 0.832
S: 0.103 0.919 0.723
S: 0.171 0.419 0.222

=====

3.
Computed, not measured: TaFeSb2 after structural relaxation at the GGA-PBE level of DFT.

Output
The calculation puts the calculated total energy at -26.07 eV per formula unit. Its space group is F-43m, No. 216. Its relative energy among the computed polymorphs is 0.592 eV per atom. For the density of states at the Fermi level, the calculation gives 3.5 states/eV per cell.

Lattice parameters (Å, degrees): 4.823 4.823 4.823 60.00 60.00 60.00
Each line ends with the local moment (μB).
Sites, in units of the cell vectors:
Sb: 0.000 0.000 0.000  0.08
Sb: 0.250 0.250 0.250  0.03
Ta: 0.750 0.750 0.750  -0.04
Fe: 0.500 0.500 0.500  2.56

=====

4.
Computed, not measured: Sr4AlW after structural relaxation at the GGA-PBE level of DFT.

Output
The calculation puts the calculated total energy at -15.56 eV per formula unit. Its space group is F-43m, No. 216. For the density of states at the Fermi level, the calculation gives 5.6 states/eV per cell.

Lattice parameters (Å, degrees): 6.712 6.712 6.712 60.00 60.00 60.00
Each line ends with the local moment (μB).
Sites, in units of the cell vectors:
W: 0.750 0.750 0.750  2.68
Al: 0.000 0.000 0.000  -0.04
Sr: 0.375 0.874 0.375  -0.04
Sr: 0.375 0.375 0.874  -0.04
Sr: 0.375 0.375 0.375  -0.04
Sr: 0.874 0.375 0.375  -0.04

=====

5.
Computed, not measured: SrNi3C after structural relaxation at the GGA-PBE level of DFT.

Output
The calculation puts the calculated total energy at -13.02 eV per formula unit. Its space group is Pm-3m, No. 221. Its relative energy among the computed polymorphs is 2.902 eV per atom. For the density of states at the Fermi level, the calculation gives 5.2 states/eV per cell.

Lattice parameters (Å, degrees): 4.684 4.684 4.684 90.00 90.00 90.00
Sites, in units of the cell vectors:
C: 0.500 0.500 0.500
Ni: 0.000 0.500 0.000
Ni: 0.500 0.000 0.000
Ni: 0.000 0.000 0.500
Sr: 0.000 0.000 0.000

=====

6.
Computed, not measured: La3IrRh8 after structural relaxation at the GGA-PBE level of DFT.

Output
The calculation puts the calculated total energy at -87.17 eV per formula unit. Its space group is R3m, No. 160. For the density of states at the Fermi level, the calculation gives 13.2 states/eV per cell.

Lattice parameters (Å, degrees): 5.384 5.384 9.379 73.32 73.32 60.00
Sites, in units of the cell vectors:
Ir: 0.144 0.144 0.568
Rh: 0.057 0.057 0.324
Rh: 0.809 0.809 0.573
Rh: 0.310 0.310 0.069
Rh: 0.561 0.057 0.324
Rh: 0.057 0.561 0.324
Rh: 0.062 0.561 0.815
Rh: 0.561 0.561 0.815
Rh: 0.561 0.062 0.815
La: 0.623 0.623 0.131
La: 0.491 0.491 0.527
La: 0.013 0.013 0.961

=====

7.
Computed, not measured: CeNbTcRu after structural relaxation at the GGA-PBE level of DFT.

Output
The calculation puts the calculated total energy at -36.16 eV per formula unit. Its space group is F-43m, No. 216. For the density of states at the Fermi level, the calculation gives 3.5 states/eV per cell.

Lattice parameters (Å, degrees): 4.679 4.679 4.679 60.00 60.00 60.00
Sites, in units of the cell vectors:
Nb: 0.500 0.500 0.500
Tc: 0.250 0.250 0.250
Ce: 0.000 0.000 0.000
Ru: 0.750 0.750 0.750

=====

8.
Computed, not measured: Tm3Ni5Se12 after structural relaxation at the GGA-PBE level of DFT.

Output
The calculation puts the calculated total energy at -98.53 eV per formula unit. Its space group is Ia-3d, No. 230. For the density of states at the Fermi level, the calculation gives 71.2 states/eV per cell.

Lattice parameters (Å, degrees): 13.105 13.105 13.105 109.47 109.47 109.47
Sites, in units of the cell vectors:
Tm: 0.750 0.375 0.125
Tm: 0.625 0.250 0.375
Tm: 0.625 0.375 0.750
Tm: 0.375 0.625 0.250
Tm: 0.375 0.750 0.625
Tm: 0.250 0.625 0.875
Tm: 0.875 0.750 0.125
Tm: 0.750 0.875 0.625
Tm: 0.125 0.875 0.750
Tm: 0.875 0.125 0.250
Tm: 0.250 0.125 0.375
Tm: 0.125 0.250 0.875
Se: 0.175 0.091 0.971
Se: 0.091 0.916 0.120
Se: 0.084 0.909 0.380
Se: 0.620 0.029 0.204
Se: 0.416 0.120 0.591
Se: 0.204 0.675 0.084
Se: 0.916 0.091 0.620
Se: 0.796 0.471 0.380
Se: 0.120 0.416 0.091
Se: 0.880 0.296 0.471
Se: 0.825 0.909 0.029
Se: 0.591 0.620 0.416
Se: 0.620 0.591 0.916
Se: 0.204 0.529 0.620
Se: 0.971 0.380 0.296
Se: 0.175 0.084 0.704
Se: 0.704 0.584 0.175
Se: 0.325 0.529 0.409
Se: 0.825 0.916 0.296
Se: 0.471 0.675 0.091
Se: 0.591 0.971 0.675
Se: 0.584 0.704 0.675
Se: 0.409 0.029 0.325
Se: 0.796 0.325 0.916
Se: 0.675 0.204 0.584
Se: 0.880 0.584 0.909
Se: 0.584 0.880 0.409
Se: 0.380 0.971 0.796
Se: 0.704 0.120 0.029
Se: 0.416 0.296 0.325
Se: 0.120 0.704 0.529
Se: 0.916 0.825 0.796
Se: 0.529 0.325 0.909
Se: 0.084 0.175 0.204
Se: 0.675 0.471 0.591
Se: 0.296 0.880 0.971
Se: 0.296 0.416 0.825
Se: 0.471 0.796 0.880
Se: 0.409 0.380 0.584
Se: 0.971 0.591 0.175
Se: 0.909 0.825 0.529
Se: 0.380 0.409 0.084
Se: 0.091 0.175 0.471
Se: 0.529 0.204 0.120
Se: 0.029 0.409 0.825
Se: 0.909 0.084 0.880
Se: 0.325 0.796 0.416
Se: 0.029 0.620 0.704
Ni: 0.250 0.375 0.625
Ni: 0.750 0.125 0.875
Ni: 0.000 0.500 0.000
Ni: 0.500 0.000 0.000
Ni: 0.875 0.625 0.750
Ni: 0.000 0.000 0.000
Ni: 0.125 0.750 0.375
Ni: 0.250 0.875 0.125
Ni: 0.000 0.500 0.500
Ni: 0.500 0.500 0.500
Ni: 0.375 0.250 0.125
Ni: 0.500 0.500 0.000
Ni: 0.000 0.000 0.500
Ni: 0.750 0.625 0.375
Ni: 0.125 0.375 0.250
Ni: 0.500 0.000 0.500
Ni: 0.875 0.250 0.625
Ni: 0.375 0.125 0.750
Ni: 0.625 0.750 0.875
Ni: 0.625 0.875 0.250

=====

9.
Computed, not measured: HfCr3Ga after structural relaxation at the GGA-PBE level of DFT.

Output
The calculation puts the calculated total energy at -33.38 eV per formula unit. Its space group is Pm-3m, No. 221. Its relative energy among the computed polymorphs is 0.633 eV per atom. For the density of states at the Fermi level, the calculation gives 3.4 states/eV per cell.

Lattice parameters (Å, degrees): 4.778 4.778 4.778 90.00 90.00 90.00
Each line ends with the local moment (μB).
Sites, in units of the cell vectors:
Hf: 0.000 0.000 0.000  -0.28
Cr: 0.500 0.000 0.000  3.35
Cr: 0.000 0.500 0.000  2.87
Cr: 0.000 0.000 0.500  2.67
Ga: 0.500 0.500 0.500  -0.07

=====

10.
Computed, not measured: Be3AsN after structural relaxation at the GGA-PBE level of DFT.

Output
The calculation puts the calculated total energy at -16.78 eV per formula unit. Its space group is Pm-3m, No. 221. Its relative energy among the computed polymorphs is 1.676 eV per atom. For the density of states at the Fermi level, the calculation gives 0.1 states/eV per cell.

Lattice parameters (Å, degrees): 4.093 4.093 4.093 90.00 90.00 90.00
Sites, in units of the cell vectors:
N: 0.500 0.500 0.500
Be: 0.000 0.000 0.500
Be: 0.000 0.500 0.000
Be: 0.500 0.000 0.000
As: 0.000 0.000 0.000

=====

11.
Computed, not measured: La2BeNi12P3 after structural relaxation at the GGA-PBE level of DFT.

Output
The calculation puts the calculated total energy at -102.41 eV per formula unit. Its space group is R-3m, No. 166. For the density of states at the Fermi level, the calculation gives 13.2 states/eV per cell.

Lattice parameters (Å, degrees): 8.212 8.212 8.212 45.55 45.55 45.55
Sites, in units of the cell vectors:
Ni: 0.938 0.330 0.938
Ni: 0.938 0.938 0.330
Ni: 0.593 0.182 0.593
Ni: 0.330 0.938 0.938
Ni: 0.062 0.670 0.062
Ni: 0.407 0.407 0.818
Ni: 0.062 0.062 0.670
Ni: 0.407 0.818 0.407
Ni: 0.818 0.407 0.407
Ni: 0.593 0.593 0.182
Ni: 0.670 0.062 0.062
Ni: 0.182 0.593 0.593
P: 0.000 0.000 0.500
P: 0.500 0.000 0.000
P: 0.000 0.500 0.000
Be: 0.000 0.000 0.000
La: 0.340 0.340 0.340
La: 0.660 0.660 0.660

=====

12.
Computed, not measured: Ce5SiGe3 after structural relaxation at the GGA-PBE level of DFT.

Output
The calculation puts the calculated total energy at -54.93 eV per formula unit. Its space group is P6_3/mcm, No. 193. For the density of states at the Fermi level, the calculation gives 33.0 states/eV per cell.

Lattice parameters (Å, degrees): 6.190 9.046 9.046 120.00 90.00 90.00
Each line ends with the local moment (μB).
Sites, in units of the cell vectors:
Ge: 0.750 0.000 0.622  -0.05
Ge: 0.750 0.378 0.378  -0.05
Ge: 0.250 0.000 0.378  -0.05
Ge: 0.250 0.622 0.622  -0.05
Ge: 0.750 0.622 0.000  -0.05
Ge: 0.250 0.378 0.000  -0.05
Ce: 0.500 0.667 0.333  0.98
Ce: 0.000 0.333 0.667  0.98
Ce: 0.250 0.271 0.270  0.44
Ce: 0.250 0.730 0.000  0.44
Ce: 0.750 0.000 0.270  0.44
Ce: 0.250 0.000 0.730  0.44
Ce: 0.500 0.333 0.667  0.98
Ce: 0.750 0.270 0.000  0.44
Ce: 0.750 0.729 0.730  0.44
Ce: 0.000 0.667 0.333  0.98
Si: 0.000 0.000 0.000  -0.01
Si: 0.500 0.000 0.000  -0.01

=====

13.
Computed, not measured: LiSc4O5 after structural relaxation at the GGA-PBE level of DFT.

Output
The calculation puts the calculated total energy at -81.44 eV per formula unit. Its space group is I4/m, No. 87. Its relative energy among the computed polymorphs is 0.000 eV per atom. For the density of states at the Fermi level, the calculation gives 4.0 states/eV per cell.

Lattice parameters (Å, degrees): 4.402 5.409 5.409 80.47 65.99 65.99
Sites, in units of the cell vectors:
O: 0.097 0.607 0.201
O: 0.501 0.000 0.000
O: 0.704 0.201 0.393
O: 0.905 0.393 0.799
O: 0.298 0.799 0.607
Sc: 0.604 0.600 0.194
Sc: 0.398 0.400 0.806
Sc: 0.204 0.194 0.400
Sc: 0.798 0.806 0.600
Li: 0.001 0.000 0.000

=====

14.
Computed, not measured: InPdPt after structural relaxation at the GGA-PBE level of DFT.

Output
The calculation puts the calculated total energy at -15.28 eV per formula unit. Its space group is C2/m, No. 12. Its relative energy among the computed polymorphs is 0.000 eV per atom. For the density of states at the Fermi level, the calculation gives 3.4 states/eV per cell.

Lattice parameters (Å, degrees): 4.611 4.611 5.677 87.67 92.34 121.80
Sites, in units of the cell vectors:
Pd: 0.668 0.832 0.290
Pd: 0.332 0.168 0.710
In: 0.663 0.837 0.786
In: 0.337 0.163 0.214
Pt: 0.000 0.500 0.000
Pt: 0.000 0.500 0.500

=====

15.
Computed, not measured: NaCaRu2 after structural relaxation at the GGA-PBE level of DFT.

Output
The calculation puts the calculated total energy at -20.84 eV per formula unit. Its space group is C2/m, No. 12. Its relative energy among the computed polymorphs is 0.093 eV per atom. For the density of states at the Fermi level, the calculation gives 12.2 states/eV per cell.

Lattice parameters (Å, degrees): 5.677 5.746 10.481 90.00 97.48 90.00
Sites, in units of the cell vectors:
Ru: 0.000 0.210 0.500
Ru: 0.311 0.000 0.047
Ru: 0.311 0.500 0.547
Ru: 0.000 0.290 0.000
Ru: 0.000 0.710 0.000
Ru: 0.000 0.790 0.500
Ru: 0.689 0.500 0.453
Ru: 0.689 0.000 0.953
Ca: 0.835 0.000 0.228
Ca: 0.835 0.500 0.728
Ca: 0.165 0.500 0.272
Ca: 0.165 0.000 0.772
Na: 0.411 0.000 0.374
Na: 0.411 0.500 0.874
Na: 0.589 0.500 0.126
Na: 0.589 0.000 0.626

=====

16.
Computed, not measured: CePrH3 after structural relaxation at the GGA-PBE level of DFT.

Output
The calculation puts the calculated total energy at -21.72 eV per formula unit. Its space group is Pm-3m, No. 221. For the density of states at the Fermi level, the calculation gives 6.7 states/eV per cell.

Lattice parameters (Å, degrees): 4.297 4.297 4.297 90.00 90.00 90.00
Each line ends with the local moment (μB).
Sites, in units of the cell vectors:
Pr: 0.500 0.500 0.500  0.15
H: 0.500 0.000 0.000  0.00
H: 0.000 0.000 0.500  0.00
H: 0.000 0.500 0.000  0.00
Ce: 0.000 0.000 0.000  0.43

=====

17.
Computed, not measured: GaCuSi after structural relaxation at the GGA-PBE level of DFT.

Output
The calculation puts the calculated total energy at -12.19 eV per formula unit. Its space group is P3m1, No. 156. For the density of states at the Fermi level, the calculation gives 0.5 states/eV per cell.

Lattice parameters (Å, degrees): 2.995 2.995 5.710 90.00 90.00 120.00
Sites, in units of the cell vectors:
Cu: 0.667 0.333 0.344
Ga: 0.000 0.000 0.007
Si: 0.333 0.667 0.649

=====

18.
Computed, not measured: ScPPt2 after structural relaxation at the GGA-PBE level of DFT.

Output
The calculation puts the calculated total energy at -26.22 eV per formula unit. Its space group is P4/mmm, No. 123. For the density of states at the Fermi level, the calculation gives 1.8 states/eV per cell.

Lattice parameters (Å, degrees): 3.111 3.111 6.768 90.00 90.00 90.00
Sites, in units of the cell vectors:
Pt: 0.000 0.000 0.280
Pt: 0.000 0.000 0.720
Sc: 0.500 0.500 0.000
P: 0.500 0.500 0.500

=====

19.
Computed, not measured: Y3SnCl after structural relaxation at the GGA-PBE level of DFT.

Output
The calculation puts the calculated total energy at -28.11 eV per formula unit. Its space group is Pm-3m, No. 221. Its relative energy among the computed polymorphs is 0.000 eV per atom. For the density of states at the Fermi level, the calculation gives 7.3 states/eV per cell.

Lattice parameters (Å, degrees): 5.131 5.131 5.131 90.00 90.00 90.00
Sites, in units of the cell vectors:
Sn: 0.500 0.500 0.500
Cl: 0.000 0.000 0.000
Y: 0.500 0.000 0.000
Y: 0.000 0.500 0.000
Y: 0.000 0.000 0.500

=====

20.
Computed, not measured: Li4MgCu3 after structural relaxation at the GGA-PBE level of DFT.

Output
The calculation puts the calculated total energy at -21.33 eV per formula unit. Its space group is C2/m, No. 12. For the density of states at the Fermi level, the calculation gives 2.6 states/eV per cell.

Lattice parameters (Å, degrees): 2.693 4.637 13.538 127.37 95.71 90.00
Sites, in units of the cell vectors:
Cu: 0.792 0.757 0.584
Cu: 0.000 0.500 0.000
Cu: 0.208 0.243 0.416
Mg: 0.500 0.000 0.000
Li: 0.685 0.668 0.369
Li: 0.315 0.332 0.631
Li: 0.397 0.129 0.794
Li: 0.603 0.871 0.206